# Cd2Hg13As8Cl12 (SCAN, single point on PBEsol structure)
data_Cd2Hg13As8Cl12
_space_group_name_H-M_alt 'P 1 21/c 1'
_space_group_IT_number 14
_space_group_name_Hall '-P 2ybc'
_cell_length_a 12.186
_cell_length_b 12.183
_cell_length_c 12.185
_cell_angle_alpha 90.00
_cell_angle_beta 90.19
_cell_angle_gamma 90.00
loop_
_atom_site_label
_atom_site_type_symbol
_atom_site_fract_x
_atom_site_fract_y
_atom_site_fract_z
Cd1 Cd 0.000 0.000 0.000
Cd2 Cd 0.500 0.000 0.500
Hg1 Hg 0.000 0.000 0.500
Hg2 Hg 0.031 0.200 0.280
Hg3 Hg 0.201 0.722 0.967
Hg4 Hg 0.222 0.031 0.701
Hg5 Hg 0.276 0.530 0.701
Hg6 Hg 0.299 0.224 0.971
Hg7 Hg 0.470 0.702 0.274
As1 As 0.163 0.663 0.162
As2 As 0.223 0.223 0.779
As3 As 0.278 0.722 0.776
As4 As 0.337 0.164 0.165
Cl1 Cl 0.036 0.209 0.042
Cl2 Cl 0.040 0.537 0.710
Cl3 Cl 0.211 0.540 0.465
Cl4 Cl 0.291 0.041 0.464
Cl5 Cl 0.459 0.034 0.710
Cl6 Cl 0.465 0.711 0.039
# Total moment ... 0.000 μB/atom
# Final energy ... -34.95 eV per atom
# Calculated volume ... 1809.0 Å³ per cell

***

# CdAsI2Cl (SCAN, single point on PBEsol structure)
data_CdAsI2Cl
_space_group_name_H-M_alt 'P 4/m m m'
_space_group_IT_number 123
_space_group_name_Hall '-P 4 2'
_cell_length_a 6.241
_cell_length_b 6.241
_cell_length_c 4.531
_cell_angle_alpha 90.00
_cell_angle_beta 90.00
_cell_angle_gamma 90.00
loop_
_atom_site_label
_atom_site_type_symbol
_atom_site_fract_x
_atom_site_fract_y
_atom_site_fract_z
Cd1 Cd 0.000 0.000 0.000
As1 As 0.500 0.500 0.000
I1 I 0.000 0.500 0.500
Cl1 Cl 0.500 0.500 0.500
# Total moment ... 0.691 μB/atom
# Final energy ... -25.76 eV per atom
# Calculated volume ... 176.5 Å³ per cell

***

# CdAsPCl2 (SCAN, single point on PBEsol structure)
data_CdAsPCl2
_space_group_name_H-M_alt 'P 4/m m m'
_space_group_IT_number 123
_space_group_name_Hall '-P 4 2'
_cell_length_a 4.858
_cell_length_b 4.858
_cell_length_c 5.263
_cell_angle_alpha 90.00
_cell_angle_beta 90.00
_cell_angle_gamma 90.00
loop_
_atom_site_label
_atom_site_type_symbol
_atom_site_fract_x
_atom_site_fract_y
_atom_site_fract_z
Cd1 Cd 0.000 0.000 0.000
As1 As 0.500 0.500 0.500
P1 P 0.000 0.000 0.500
Cl1 Cl 0.000 0.500 0.000
# Total moment ... 0.084 μB/atom
# Final energy ... -14.98 eV per atom
# Calculated volume ... 124.2 Å³ per cell

***

# CdAsPbCl2 (SCAN, single point on PBEsol structure)
data_CdAsPbCl2
_space_group_name_H-M_alt 'P 4/m m m'
_space_group_IT_number 123
_space_group_name_Hall '-P 4 2'
_cell_length_a 4.852
_cell_length_b 4.852
_cell_length_c 5.971
_cell_angle_alpha 90.00
_cell_angle_beta 90.00
_cell_angle_gamma 90.00
loop_
_atom_site_label
_atom_site_type_symbol
_atom_site_fract_x
_atom_site_fract_y
_atom_site_fract_z
Cd1 Cd 0.000 0.000 0.000
As1 As 0.500 0.500 0.500
Pb1 Pb 0.500 0.500 0.000
Cl1 Cl 0.000 0.500 0.500
# Total moment ... 0.000 μB/atom
# Final energy ... -28.58 eV per atom
# Calculated volume ... 140.6 Å³ per cell

***

# CdAsPt2Cl (SCAN, single point on PBEsol structure)
data_CdAsPt2Cl
_space_group_name_H-M_alt 'P 4/m m m'
_space_group_IT_number 123
_space_group_name_Hall '-P 4 2'
_cell_length_a 4.503
_cell_length_b 4.503
_cell_length_c 4.925
_cell_angle_alpha 90.00
_cell_angle_beta 90.00
_cell_angle_gamma 90.00
loop_
_atom_site_label
_atom_site_type_symbol
_atom_site_fract_x
_atom_site_fract_y
_atom_site_fract_z
Cd1 Cd 0.000 0.000 0.000
As1 As 0.500 0.500 0.000
Pt1 Pt 0.000 0.500 0.500
Cl1 Cl 0.500 0.500 0.500
# Total moment ... 0.000 μB/atom
# Final energy ... -38.79 eV per atom
# Calculated volume ... 99.9 Å³ per cell

***

# CdAsSe2Cl (SCAN, single point on PBEsol structure)
data_CdAsSe2Cl
_space_group_name_H-M_alt 'P 4/m m m'
_space_group_IT_number 123
_space_group_name_Hall '-P 4 2'
_cell_length_a 4.878
_cell_length_b 4.878
_cell_length_c 4.916
_cell_angle_alpha 90.00
_cell_angle_beta 90.00
_cell_angle_gamma 90.00
loop_
_atom_site_label
_atom_site_type_symbol
_atom_site_fract_x
_atom_site_fract_y
_atom_site_fract_z
Cd1 Cd 0.000 0.000 0.000
As1 As 0.500 0.500 0.000
Se1 Se 0.000 0.500 0.500
Cl1 Cl 0.500 0.500 0.500
# Total moment ... 0.000 μB/atom
# Final energy ... -18.89 eV per atom
# Calculated volume ... 117.0 Å³ per cell